(1)
The following is a PBE calculation of a geometry-optimized Al2V5Si structure, from Alexandria via LeMat-Bulk.

- energy (eV/atom) = -7.519
- symmetry = I4/mcm, No. 140

The structure in POSCAR format:
```
Al2V5Si
1.0
-3.197 3.197 5.450
3.197 -3.197 5.450
3.197 3.197 -5.450
Al V Si
4 10 2
direct
0.136 0.636 0.773
0.364 0.136 0.500
0.636 0.864 0.500
0.864 0.364 0.227
0.000 0.000 0.000
0.002 0.176 0.500
0.176 0.676 0.174
0.324 0.498 0.500
0.498 0.998 0.174
0.500 0.500 0.000
0.502 0.002 0.826
0.676 0.502 0.500
0.824 0.324 0.826
0.998 0.824 0.500
0.250 0.250 0.000
0.750 0.750 0.000
```

(2)
The following is a PBE calculation of a geometry-optimized AlVSi structure, from Alexandria via LeMat-Bulk.

- energy (eV/atom) = -6.298
- symmetry = Imma, No. 74

The structure in POSCAR format:
```
AlVSi
1.0
-2.473 2.539 3.398
2.473 -2.539 3.398
2.473 2.539 -3.398
Al V Si
2 2 2
direct
0.386 0.136 0.250
0.614 0.864 0.750
0.000 0.500 0.500
0.500 0.500 0.000
0.000 0.000 0.500
0.000 0.500 0.000
```

(3)
The following is a PBE calculation of a geometry-optimized Al2VSi structure, from Alexandria via LeMat-Bulk.

- energy (eV/atom) = -5.590
- symmetry = P4/mmm, No. 123

The structure in POSCAR format:
```
Al2VSi
1.0
3.937 0.000 0.000
0.000 3.937 0.000
0.000 0.000 3.673
Al V Si
2 1 1
direct
0.000 0.500 0.000
0.500 0.000 0.000
0.000 0.000 0.500
0.500 0.500 0.500
```

(4)
The following is a PBE calculation of a geometry-optimized AlVSi structure, from Alexandria via LeMat-Bulk.

- energy (eV/atom) = -6.324
- symmetry = C2/m, No. 12

The structure in POSCAR format:
```
AlVSi
1.0
4.938 -1.690 0.000
4.938 1.690 0.000
-1.152 0.000 5.075
Al V Si
2 2 2
direct
0.009 0.009 0.255
0.991 0.991 0.745
0.326 0.326 0.405
0.674 0.674 0.595
0.316 0.316 0.908
0.684 0.684 0.092
```

(5)
The following is a PBE calculation of a geometry-optimized Al2V2Si structure, from Alexandria via LeMat-Bulk.

- relative energy among the computed polymorphs (eV/atom) = 0.0000
- symmetry = P4/mbm, No. 127

The structure in POSCAR format:
```
Al2V2Si
1.0
6.175 0.000 0.000
0.000 6.175 0.000
0.000 0.000 3.957
Al V Si
4 4 2
direct
0.155 0.345 0.000
0.345 0.845 0.000
0.655 0.155 0.000
0.845 0.655 0.000
0.147 0.647 0.500
0.353 0.147 0.500
0.647 0.853 0.500
0.853 0.353 0.500
0.000 0.000 0.500
0.500 0.500 0.500
```

(6)
The following is a PBE calculation of a geometry-optimized AlVSi structure, from Alexandria via LeMat-Bulk.

- energy (eV/atom) = -6.403
- symmetry = C2/c, No. 15

The structure in POSCAR format:
```
AlVSi
1.0
2.383 -4.051 0.000
2.383 4.051 0.000
-2.335 0.000 4.293
Al V Si
2 2 2
direct
0.039 0.961 0.750
0.961 0.039 0.250
0.371 0.629 0.750
0.629 0.371 0.250
0.298 0.702 0.250
0.702 0.298 0.750
```

(7)
The following is a PBE calculation of a geometry-optimized AlV2Si structure, from Alexandria via LeMat-Bulk.

- relative energy among the computed polymorphs (eV/atom) = 0.0000
- symmetry = P-1, No. 2

The structure in POSCAR format:
```
AlV2Si
1.0
4.716 0.000 0.000
0.543 4.945 0.000
2.238 0.483 4.662
Al V Si
2 4 2
direct
0.246 0.372 0.055
0.754 0.628 0.945
0.265 0.361 0.551
0.270 0.900 0.818
0.730 0.100 0.182
0.735 0.639 0.449
0.237 0.855 0.341
0.763 0.145 0.659
```

(8)
The following is a PBE calculation of a geometry-optimized AlV2Si structure, from Alexandria via LeMat-Bulk.

- relative energy among the computed polymorphs (eV/atom) = 0.0452
- symmetry = Cmcm, No. 63

The structure in POSCAR format:
```
AlV2Si
1.0
3.928 -2.642 0.000
3.928 2.642 0.000
0.000 0.000 5.209
Al V Si
2 4 2
direct
0.000 0.000 0.000
0.000 0.000 0.500
0.044 0.462 0.750
0.462 0.044 0.250
0.538 0.956 0.750
0.956 0.538 0.250
0.500 0.500 0.000
0.500 0.500 0.500
```